RbHfSi2 | GGA-PBE | relaxed

Cell lengths 7.0857, 7.0857, 7.0857 Å; angles 90.00, 90.00, 90.00 degrees
Space group Fm-3m (No. 225)
Symmetry-distinct sites (fractional):
Rb (0.0000, 0.0000, 0.0000) [4 per cell]
Hf (0.0000, 0.0000, 0.5000) [4 per cell]
Si (0.2500, 0.2500, 0.2500) [8 per cell]

Summary:
Raw formation energy ... 68.7 kJ per mole of atoms
Fermi-level density of states ... 17.50 states/eV/cell
Polymorph energy (0 for the lowest one) ... 0.254 eV per atom

---

Rb2HfSi | GGA-PBE | relaxed

Cell lengths 13.6729, 13.6729, 5.1288 Å; angles 90.00, 90.00, 90.00 degrees
Space group I-42d (No. 122)
Symmetry-distinct sites (fractional):
Rb (0.0651, 0.2500, 0.1250) [8 per cell]
Hf (0.0000, 0.0000, 0.5000) [4 per cell]
Si (0.0000, 0.0000, 0.0000) [4 per cell]

Summary:
Raw formation energy ... 71.1 kJ per mole of atoms
Fermi-level density of states ... 8.81 states/eV/cell

---

Rb3HfSi | GGA-PBE | relaxed

Cell lengths 6.7148, 6.7148, 6.7148 Å; angles 90.00, 90.00, 90.00 degrees
Space group Pm-3m (No. 221)
Symmetry-distinct sites (fractional):
Rb (0.0000, 0.0000, 0.5000) [3 per cell]
Hf (0.5000, 0.5000, 0.5000) [1 per cell]
Si (0.0000, 0.0000, 0.0000) [1 per cell]

Summary:
Raw formation energy ... 133.0 kJ per mole of atoms
Fermi-level density of states ... 4.94 states/eV/cell
Polymorph energy (0 for the lowest one) ... 0.000 eV per atom

---

RbHfSi2 | GGA-PBE | relaxed

Cell lengths 5.7643, 5.7643, 17.2673 Å; angles 90.00, 90.00, 90.00 degrees
Space group I4_1/amd (No. 141, origin choice 2)
Symmetry-distinct sites (fractional):
Rb (0.0000, 0.2500, 0.3750) [4 per cell]
Hf (0.0000, 0.2500, 0.8750) [4 per cell]
Si (0.0000, 0.0000, 0.0000) [8 per cell]

Summary:
Raw formation energy ... 44.2 kJ per mole of atoms
Fermi-level density of states ... 8.53 states/eV/cell
Polymorph energy (0 for the lowest one) ... 0.000 eV per atom

---

RbHf3Si | GGA-PBE | relaxed

Cell lengths 5.1448, 5.1448, 5.1448 Å; angles 90.00, 90.00, 90.00 degrees
Space group Pm-3m (No. 221)
Symmetry-distinct sites (fractional):
Rb (0.0000, 0.0000, 0.0000) [1 per cell]
Hf (0.0000, 0.5000, 0.5000) [3 per cell]
Si (0.5000, 0.5000, 0.5000) [1 per cell]

Summary:
Raw formation energy ... 80.6 kJ per mole of atoms
Fermi-level density of states ... 9.67 states/eV/cell
Polymorph energy (0 for the lowest one) ... 0.000 eV per atom

---

RbHfSi3 | GGA-PBE | relaxed

Cell lengths 5.1739, 5.1739, 5.1739 Å; angles 90.00, 90.00, 90.00 degrees
Space group Pm-3m (No. 221)
Symmetry-distinct sites (fractional):
Rb (0.0000, 0.0000, 0.0000) [1 per cell]
Hf (0.5000, 0.5000, 0.5000) [1 per cell]
Si (0.0000, 0.5000, 0.5000) [3 per cell]

Summary:
Raw formation energy ... 34.0 kJ per mole of atoms
Fermi-level density of states ... 1.96 states/eV/cell
Polymorph energy (0 for the lowest one) ... 0.000 eV per atom

---

RbHfSi3 | GGA-PBE | relaxed

Cell lengths 5.0094, 5.0094, 5.0094 Å; angles 90.00, 90.00, 90.00 degrees
Space group Pm-3m (No. 221)
Symmetry-distinct sites (fractional):
Rb (0.0000, 0.0000, 0.0000) [1 per cell]
Hf (0.5000, 0.5000, 0.5000) [1 per cell]
Si (0.0000, 0.0000, 0.5000) [3 per cell]

Summary:
Raw formation energy ... 217.8 kJ per mole of atoms
Fermi-level density of states ... 3.89 states/eV/cell
Polymorph energy (0 for the lowest one) ... 1.905 eV per atom

---

Rb2Hf4Si | GGA-PBE | relaxed

Cell lengths 4.9792, 4.9792, 21.5937 Å; angles 90.00, 90.00, 90.00 degrees
Space group I4/mmm (No. 139)
Symmetry-distinct sites (fractional):
Rb (0.0000, 0.0000, 0.1777) [4 per cell]
Hf (0.0000, 0.0000, 0.3898) [4 per cell]
Hf (0.0000, 0.5000, 0.0000) [4 per cell]
Si (0.0000, 0.0000, 0.5000) [2 per cell]

Summary:
Raw formation energy ... 102.5 kJ per mole of atoms
Fermi-level density of states ... 23.41 states/eV/cell

---

RbHf3Si | GGA-PBE | relaxed

Cell lengths 4.9658, 4.9658, 4.9658 Å; angles 90.00, 90.00, 90.00 degrees
Space group Pm-3m (No. 221)
Symmetry-distinct sites (fractional):
Rb (0.0000, 0.0000, 0.0000) [1 per cell]
Hf (0.0000, 0.0000, 0.5000) [3 per cell]
Si (0.5000, 0.5000, 0.5000) [1 per cell]

Summary:
Raw formation energy ... 241.9 kJ per mole of atoms
Fermi-level density of states ... 7.16 states/eV/cell
Polymorph energy (0 for the lowest one) ... 1.672 eV per atom

---

RbHfSiTe2 | GGA-PBE | relaxed

Cell lengths 5.5376, 5.5376, 7.5640 Å; angles 90.00, 90.00, 90.00 degrees
Space group P4/mmm (No. 123)
Symmetry-distinct sites (fractional):
Rb (0.0000, 0.0000, 0.0000) [1 per cell]
Hf (0.0000, 0.0000, 0.5000) [1 per cell]
Si (0.5000, 0.5000, 0.0000) [1 per cell]
Te (0.0000, 0.5000, 0.5000) [2 per cell]

Summary:
Raw formation energy ... 54.7 kJ per mole of atoms
Fermi-level density of states ... 3.76 states/eV/cell

---

RbHfTi2Si | GGA-PBE | relaxed

Cell lengths 4.9384, 4.9384, 5.1758 Å; angles 90.00, 90.00, 90.00 degrees
Space group P4/mmm (No. 123)
Symmetry-distinct sites (fractional):
Rb (0.0000, 0.0000, 0.0000) [1 per cell]
Hf (0.5000, 0.5000, 0.0000) [1 per cell]
Ti (0.0000, 0.5000, 0.5000) [2 per cell]
Si (0.5000, 0.5000, 0.5000) [1 per cell]

Summary:
Raw formation energy ... 79.8 kJ per mole of atoms
Fermi-level density of states ... 6.84 states/eV/cell

---

RbHfVSi2 | GGA-PBE | relaxed

Cell lengths 5.1427, 5.1427, 4.6514 Å; angles 90.00, 90.00, 90.00 degrees
Space group P4/mmm (No. 123)
Symmetry-distinct sites (fractional):
Rb (0.0000, 0.0000, 0.0000) [1 per cell]
Hf (0.5000, 0.5000, 0.5000) [1 per cell]
V (0.0000, 0.0000, 0.5000) [1 per cell]
Si (0.0000, 0.5000, 0.0000) [2 per cell]

Summary:
Raw formation energy ... 225.5 kJ per mole of atoms
Fermi-level density of states ... 5.23 states/eV/cell

---

Rb2Sm2HfTe6 | GGA-PBE | relaxed

Cell lengths 7.6645, 13.1741, 9.1684 Å; angles 90.00, 107.04, 90.00 degrees
Space group C2/m (No. 12)
Symmetry-distinct sites (fractional):
Rb (0.0000, 0.1726, 0.0000) [4 per cell]
Sm (0.0000, 0.3322, 0.5000) [4 per cell]
Hf (0.0000, 0.0000, 0.5000) [2 per cell]
Te (0.2268, 0.1548, 0.6975) [8 per cell]
Te (0.2434, 0.0000, 0.3050) [4 per cell]

Summary:
Raw formation energy ... -118.5 kJ per mole of atoms

---

RbHfSn2 | GGA-PBE | relaxed

Cell lengths 7.6573, 7.6573, 7.6573 Å; angles 90.00, 90.00, 90.00 degrees
Space group Fm-3m (No. 225)
Symmetry-distinct sites (fractional):
Rb (0.0000, 0.0000, 0.0000) [4 per cell]
Hf (0.0000, 0.0000, 0.5000) [4 per cell]
Sn (0.2500, 0.2500, 0.2500) [8 per cell]

Summary:
DFT formation energy ... 8.76 kcal/mol of atoms
Fermi-level density of states ... 23.74 states/eV/cell
Polymorph energy (0 for the lowest one) ... 0.084 eV per atom

---

RbHf3Sn | GGA-PBE | relaxed

Cell lengths 5.4846, 5.4846, 5.4846 Å; angles 90.00, 90.00, 90.00 degrees
Space group Pm-3m (No. 221)
Symmetry-distinct sites (fractional):
Rb (0.0000, 0.0000, 0.0000) [1 per cell]
Hf (0.0000, 0.5000, 0.5000) [3 per cell]
Sn (0.5000, 0.5000, 0.5000) [1 per cell]

Summary:
DFT formation energy ... 30.15 kcal/mol of atoms
Fermi-level density of states ... 9.99 states/eV/cell
Polymorph energy (0 for the lowest one) ... 0.000 eV per atom

---

RbHf2Sn2 | GGA-PBE | relaxed

Cell lengths 9.1039, 9.1039, 3.1615 Å; angles 90.00, 90.00, 90.00 degrees
Space group P4/mbm (No. 127)
Symmetry-distinct sites (fractional):
Rb (0.0000, 0.0000, 0.0000) [2 per cell]
Hf (0.1200, 0.3800, 0.0000) [4 per cell]
Sn (0.1682, 0.6682, 0.5000) [4 per cell]

Summary:
DFT formation energy ... -0.62 kcal/mol of atoms
Fermi-level density of states ... 12.47 states/eV/cell
Polymorph energy (0 for the lowest one) ... 0.000 eV per atom

---

Rb3HfSn | GGA-PBE | relaxed

Cell lengths 7.0092, 7.0092, 7.0092 Å; angles 90.00, 90.00, 90.00 degrees
Space group Pm-3m (No. 221)
Symmetry-distinct sites (fractional):
Rb (0.0000, 0.0000, 0.5000) [3 per cell]
Hf (0.5000, 0.5000, 0.5000) [1 per cell]
Sn (0.0000, 0.0000, 0.0000) [1 per cell]

Summary:
DFT formation energy ... 27.31 kcal/mol of atoms
Fermi-level density of states ... 12.12 states/eV/cell
Polymorph energy (0 for the lowest one) ... 0.000 eV per atom

---

RbHf3Sn | GGA-PBE | relaxed

Cell lengths 5.0414, 5.0414, 5.0414 Å; angles 90.00, 90.00, 90.00 degrees
Space group Pm-3m (No. 221)
Symmetry-distinct sites (fractional):
Rb (0.0000, 0.0000, 0.0000) [1 per cell]
Hf (0.0000, 0.0000, 0.5000) [3 per cell]
Sn (0.5000, 0.5000, 0.5000) [1 per cell]

Summary:
DFT formation energy ... 50.18 kcal/mol of atoms
Fermi-level density of states ... 5.52 states/eV/cell
Polymorph energy (0 for the lowest one) ... 0.869 eV per atom

---

RbHf2Sn2 | GGA-PBE | relaxed

Cell lengths 5.4818, 5.4818, 10.7099 Å; angles 90.00, 90.00, 90.00 degrees
Space group I4/mmm (No. 139)
Symmetry-distinct sites (fractional):
Rb (0.0000, 0.0000, 0.0000) [2 per cell]
Hf (0.0000, 0.0000, 0.3401) [4 per cell]
Sn (0.0000, 0.5000, 0.2500) [4 per cell]

Summary:
DFT formation energy ... 7.38 kcal/mol of atoms
Fermi-level density of states ... 3.29 states/eV/cell
Polymorph energy (0 for the lowest one) ... 0.347 eV per atom

---

RbHfSn2 | GGA-PBE | relaxed

Cell lengths 6.3452, 6.3452, 18.3491 Å; angles 90.00, 90.00, 90.00 degrees
Space group I-42d (No. 122)
Symmetry-distinct sites (fractional):
Rb (0.0000, 0.0000, 0.0000) [4 per cell]
Hf (0.0000, 0.0000, 0.5000) [4 per cell]
Sn (0.0521, 0.2500, 0.6250) [8 per cell]

Summary:
DFT formation energy ... 6.83 kcal/mol of atoms
Fermi-level density of states ... 6.60 states/eV/cell
Polymorph energy (0 for the lowest one) ... 0.000 eV per atom

---

Rb2SrHfSn | GGA-PBE | relaxed

Cell lengths 6.5472, 6.5472, 6.4636 Å; angles 90.00, 90.00, 90.00 degrees
Space group P4/mmm (No. 123)
Symmetry-distinct sites (fractional):
Rb (0.0000, 0.5000, 0.0000) [2 per cell]
Sr (0.0000, 0.0000, 0.5000) [1 per cell]
Hf (0.0000, 0.0000, 0.0000) [1 per cell]
Sn (0.5000, 0.5000, 0.5000) [1 per cell]

Summary:
DFT formation energy ... 27.84 kcal/mol of atoms
Fermi-level density of states ... 2.53 states/eV/cell

---

Rb2HfSnTe5 | GGA-PBE | relaxed

Cell lengths 4.3530, 21.6275, 15.7073 Å; angles 90.00, 90.00, 90.00 degrees
Space group Cmc2_1 (No. 36)
Symmetry-distinct sites (fractional):
Rb (0.0000, 0.1280, 0.0000) [4 per cell]
Rb (0.0000, 0.1339, 0.3644) [4 per cell]
Hf (0.0000, 0.2107, 0.7068) [4 per cell]
Sn (0.0000, 0.4338, 0.0919) [4 per cell]
Te (0.0000, 0.0638, 0.7108) [4 per cell]
Te (0.0000, 0.3039, 0.0724) [4 per cell]
Te (0.0000, 0.3071, 0.3249) [4 per cell]
Te (0.0000, 0.3335, 0.6818) [4 per cell]
Te (0.0000, 0.4962, 0.9440) [4 per cell]

Summary:
Raw formation energy ... -67.5 kJ per mole of atoms
Fermi-level density of states ... 0.68 states/eV/cell

---

RbSr2Hf | GGA-PBE | relaxed

Cell lengths 5.5211, 5.5211, 25.6252 Å; angles 90.00, 90.00, 90.00 degrees
Space group I-42d (No. 122)
Symmetry-distinct sites (fractional):
Rb (0.0000, 0.0000, 0.0000) [4 per cell]
Sr (0.2283, 0.2500, 0.6250) [8 per cell]
Hf (0.0000, 0.0000, 0.5000) [4 per cell]

Summary:
DFT formation energy ... 26.68 kcal/mol of atoms
Fermi-level density of states ... 26.50 states/eV/cell
Polymorph energy (0 for the lowest one) ... 0.298 eV per atom

---

RbSr2Hf | GGA-PBE | relaxed

Cell lengths 8.8337, 8.8337, 8.8337 Å; angles 90.00, 90.00, 90.00 degrees
Space group Fm-3m (No. 225)
Symmetry-distinct sites (fractional):
Rb (0.0000, 0.0000, 0.0000) [4 per cell]
Sr (0.2500, 0.2500, 0.2500) [8 per cell]
Hf (0.0000, 0.0000, 0.5000) [4 per cell]

Summary:
DFT formation energy ... 19.82 kcal/mol of atoms
Fermi-level density of states ... 27.47 states/eV/cell
Polymorph energy (0 for the lowest one) ... 0.000 eV per atom

---

RbSr3Hf | GGA-PBE | relaxed

Cell lengths 6.0976, 6.0976, 6.0976 Å; angles 90.00, 90.00, 90.00 degrees
Space group Pm-3m (No. 221)
Symmetry-distinct sites (fractional):
Rb (0.0000, 0.0000, 0.0000) [1 per cell]
Sr (0.0000, 0.0000, 0.5000) [3 per cell]
Hf (0.5000, 0.5000, 0.5000) [1 per cell]

Summary:
DFT formation energy ... 34.05 kcal/mol of atoms
Fermi-level density of states ... 11.88 states/eV/cell
Polymorph energy (0 for the lowest one) ... 0.751 eV per atom

---

RbSr3Hf | GGA-PBE | relaxed

Cell lengths 6.6293, 6.6293, 6.6293 Å; angles 90.00, 90.00, 90.00 degrees
Space group Pm-3m (No. 221)
Symmetry-distinct sites (fractional):
Rb (0.0000, 0.0000, 0.0000) [1 per cell]
Sr (0.0000, 0.5000, 0.5000) [3 per cell]
Hf (0.5000, 0.5000, 0.5000) [1 per cell]

Summary:
DFT formation energy ... 16.73 kcal/mol of atoms
Fermi-level density of states ... 2.95 states/eV/cell
Polymorph energy (0 for the lowest one) ... 0.000 eV per atom

---

Rb2SrHfTa | GGA-PBE | relaxed

Cell lengths 5.8438, 5.8438, 5.5466 Å; angles 90.00, 90.00, 90.00 degrees
Space group P4/mmm (No. 123)
Symmetry-distinct sites (fractional):
Rb (0.0000, 0.5000, 0.0000) [2 per cell]
Sr (0.0000, 0.0000, 0.0000) [1 per cell]
Hf (0.5000, 0.5000, 0.5000) [1 per cell]
Ta (0.0000, 0.0000, 0.5000) [1 per cell]

Summary:
DFT formation energy ... 53.59 kcal/mol of atoms
Fermi-level density of states ... 6.07 states/eV/cell